Compound: Cs2PuRhO6
Source: the Alexandria database
Functional: GGA-PBE
Structure: relaxed

Summary:
For the volume, the calculation gives 20.911 Å³/atom.

Lattice parameters (Å, degrees): 5.578 6.579 6.579 120.00 90.00 90.00
Site moments in Bohr magnetons follow the coordinates.
Fractional coordinates of all 10 atoms:
1 O 0.249 0.266 0.133  -0.10
2 O 0.249 0.867 0.133  -0.10
3 O 0.751 0.133 0.266  -0.10
4 O 0.751 0.734 0.867  -0.10
5 O 0.249 0.867 0.734  -0.10
6 O 0.751 0.133 0.867  -0.10
7 Rh 0.500 0.000 0.000  -0.07
8 Cs 0.324 0.333 0.667  0.00
9 Cs 0.676 0.667 0.333  0.00
10 Pu 0.000 0.000 0.000  1.91

Compound: Cs2Pu3RuO12
Source: the Alexandria database
Functional: GGA-PBE
Structure: relaxed

Summary:
For the volume, the calculation gives 17.873 Å³/atom.

Lattice parameters (Å, degrees): 7.550 7.550 7.550 62.56 62.56 62.56
Site moments in Bohr magnetons follow the coordinates.
Fractional coordinates of all 18 atoms:
1 O 0.320 0.940 0.320  -0.15
2 O 0.680 0.680 0.060  -0.15
3 O 0.680 0.060 0.680  -0.15
4 O 0.320 0.320 0.940  -0.15
5 O 0.698 0.058 0.058  -0.16
6 O 0.058 0.698 0.058  -0.16
7 O 0.058 0.058 0.698  -0.16
8 O 0.940 0.320 0.320  -0.15
9 O 0.302 0.942 0.942  -0.16
10 O 0.060 0.680 0.680  -0.15
11 O 0.942 0.302 0.942  -0.16
12 O 0.942 0.942 0.302  -0.16
13 Pu 0.500 0.000 0.000  2.45
14 Pu 0.000 0.500 0.000  2.45
15 Pu 0.000 0.000 0.500  2.45
16 Cs 0.372 0.372 0.372  0.00
17 Cs 0.628 0.628 0.628  0.00
18 Ru 0.000 0.000 0.000  -1.35

Compound: CsPu2RuO8
Source: the Alexandria database
Functional: GGA-PBE
Structure: relaxed

Summary:
For the volume, the calculation gives 17.671 Å³/atom.

Lattice parameters (Å, degrees): 5.642 5.642 7.694 90.00 90.00 120.00
Site moments in Bohr magnetons follow the coordinates.
Fractional coordinates of all 12 atoms:
1 O 0.931 0.279 0.620  -0.18
2 O 0.069 0.721 0.380  -0.18
3 O 0.279 0.348 0.380  -0.18
4 O 0.721 0.652 0.620  -0.18
5 O 0.348 0.069 0.620  -0.18
6 O 0.652 0.931 0.380  -0.18
7 O 0.333 0.667 0.832  -0.26
8 O 0.667 0.333 0.168  -0.26
9 Pu 0.667 0.333 0.410  3.10
10 Pu 0.333 0.667 0.590  3.10
11 Cs 0.000 0.000 0.000  0.00
12 Ru 0.000 0.000 0.500  -1.39

Across the entries above, E_form (uncorrected) takes the values -1.760 -2.202 -1.949 eV/atom, respectively.